[1]
Below is an optimized crystal structure of SmDy10Th4, with properties calculated at the GGA-PBE level.

Calculated values
Formation energy ... 0.38 eV per atom

abc: 10.763 8.698 8.698
angles: 67.50 51.78 51.78
Atoms (fractional coordinates):
Dy  0.541  0.328  0.904
Dy  0.773  0.672  0.096
Dy  0.130  0.096  0.328
Dy  0.870  0.904  0.672
Dy  0.459  0.672  0.096
Dy  0.750  0.500  0.500
Dy  0.555  0.904  0.672
Dy  0.445  0.096  0.328
Dy  0.250  0.500  0.500
Dy  0.227  0.328  0.904
Th  0.065  0.597  0.274
Th  0.935  0.403  0.726
Th  0.662  0.274  0.403
Th  0.338  0.726  0.597
Sm  0.000  0.000  0.000

***

[2]
Below is an optimized crystal structure of BaScOs, with properties calculated at the GGA-PBE level.

Calculated values
ΔE to the lowest computed polymorph ... 0.0 kJ per mole of atoms
Formation energy ... 0.25 eV per atom

abc: 7.300 7.301 3.456
angles: 76.29 76.32 27.39
Atoms (fractional coordinates):
Os  0.311  0.311  0.689
Sc  0.721  0.721  0.279
Ba  0.968  0.968  0.032

***

[3]
Below is an optimized crystal structure of Np5P4Se, with properties calculated at the GGA-PBE level.

Calculated values
Formation energy without anion corrections ... -917 meV/atom

abc: 3.991 5.648 10.571
angles: 105.50 100.88 90.00
Site moments in Bohr magnetons follow the coordinates.
Atoms (fractional coordinates):
P  0.401  0.401  0.802  -0.13
P  0.798  0.798  0.595  -0.12
P  0.202  0.202  0.405  -0.12
P  0.599  0.599  0.198  -0.13
Np  0.395  0.895  0.789  3.74
Np  0.801  0.301  0.601  3.60
Np  0.000  0.500  0.000  3.71
Np  0.605  0.105  0.211  3.74
Np  0.199  0.699  0.399  3.60
Se  0.000  0.000  0.000  -0.09

***

[4]
Below is an optimized crystal structure of ErZrZnCd, with properties calculated at the GGA-PBE level.

Calculated values
ΔE to the lowest computed polymorph ... 5.3 kJ per mole of atoms
Formation energy ... -0.17 eV per atom

abc: 4.995 4.995 4.995
angles: 60.00 60.00 60.00
Site moments in Bohr magnetons follow the coordinates.
Atoms (fractional coordinates):
Er  0.750  0.750  0.750  0.08
Zr  0.250  0.250  0.250  0.14
Zn  0.000  0.000  0.000  0.00
Cd  0.500  0.500  0.500  0.00

***

[5]
Below is an optimized crystal structure of CoSi2Rh, with properties calculated at the GGA-PBE level.

Calculated values
ΔE to the lowest computed polymorph ... 16.4 kJ per mole of atoms
Formation energy without anion corrections ... -416 meV/atom

abc: 4.171 4.171 2.809
angles: 89.99 89.99 95.58
Site moments in Bohr magnetons follow the coordinates.
Atoms (fractional coordinates):
Si  0.000  0.000  0.000  0.01
Si  0.500  0.500  0.000  0.01
Rh  0.000  0.500  0.500  0.15
Co  0.500  0.000  0.500  0.65

***

[6]
Below is an optimized crystal structure of TaBeMo3, with properties calculated at the GGA-PBE level.

Calculated values
ΔE to the lowest computed polymorph ... 0.0 kJ per mole of atoms
Formation energy ... 0.62 eV per atom

abc: 4.276 4.276 4.276
angles: 90.00 90.00 90.00
Atoms (fractional coordinates):
Be  0.000  0.000  0.000
Mo  0.000  0.500  0.000
Mo  0.500  0.000  0.000
Mo  0.000  0.000  0.500
Ta  0.500  0.500  0.500

***

[7]
Below is an optimized crystal structure of TiIr3Br, with properties calculated at the GGA-PBE level.

Calculated values
ΔE to the lowest computed polymorph ... 0.0 kJ per mole of atoms
Formation energy without anion corrections ... 1511 meV/atom

abc: 4.683 4.683 4.683
angles: 90.00 90.00 90.00
Site moments in Bohr magnetons follow the coordinates.
Atoms (fractional coordinates):
Ir  0.000  0.000  0.500  0.64
Ir  0.000  0.500  0.000  0.66
Ir  0.500  0.000  0.000  0.33
Ti  0.000  0.000  0.000  -0.11
Br  0.500  0.500  0.500  0.15

***

[8]
Below is an optimized crystal structure of TiGaSb3, with properties calculated at the GGA-PBE level.

Calculated values
ΔE to the lowest computed polymorph ... 65.4 kJ per mole of atoms
Formation energy without anion corrections ... 846 meV/atom

abc: 5.217 5.217 5.217
angles: 90.00 90.00 90.00
Atoms (fractional coordinates):
Ti  0.500  0.500  0.500
Sb  0.500  0.000  0.000
Sb  0.000  0.500  0.000
Sb  0.000  0.000  0.500
Ga  0.000  0.000  0.000

***

[9]
Below is an optimized crystal structure of TlTe3Pt2, with properties calculated at the GGA-PBE level.

Calculated values
Formation energy without anion corrections ... -437 meV/atom

abc: 8.063 8.063 5.985
angles: 90.00 90.00 120.00
Atoms (fractional coordinates):
Pt  0.500  0.500  0.000
Pt  0.000  0.500  0.000
Pt  0.500  0.000  0.000
Pt  0.000  0.000  0.000
Tl  0.667  0.333  0.687
Tl  0.333  0.667  0.313
Te  0.170  0.830  0.777
Te  0.170  0.339  0.777
Te  0.830  0.170  0.223
Te  0.830  0.661  0.223
Te  0.661  0.830  0.777
Te  0.339  0.170  0.223

***

[10]
Below is an optimized crystal structure of HgSb2TeMo, with properties calculated at the GGA-PBE level.

Calculated values
ΔE to the lowest computed polymorph ... 0.0 kJ per mole of atoms
Formation energy without anion corrections ... 402 meV/atom

abc: 5.319 5.319 5.275
angles: 90.00 90.00 90.00
Atoms (fractional coordinates):
Hg  0.500  0.500  0.500
Sb  0.500  0.000  0.000
Sb  0.000  0.500  0.000
Te  0.000  0.000  0.500
Mo  0.000  0.000  0.000

***

Which magnetization belongs to each record? In order, 0.0000; 0.0003; 1.9305; 0.0817; 0.2006; 0.0000; 0.3498; 0.0000; 0.0000; 0.0000 μB per atom.